[1]
Computed, not measured: a relaxed structure of PrMgScPt2 at the GGA-PBE level of DFT.

Geometry as CIF:
```
data_PrMgScPt2
_chemical_formula_sum 'Pr1 Mg1 Sc1 Pt2'
_space_group_name_H-M_alt 'P 1'
_space_group_IT_number 1
_space_group_name_Hall 'P 1'
_cell_length_a 4.209
_cell_length_b 4.209
_cell_length_c 6.856
_cell_angle_alpha 107.88
_cell_angle_beta 107.88
_cell_angle_gamma 90.00
loop_
_atom_site_label
_atom_site_fract_x
_atom_site_fract_y
_atom_site_fract_z
Pt1 0.611 0.611 0.222
Pr1 0.000 0.000 0.000
Mg1 0.750 0.250 0.500
Sc1 0.250 0.750 0.500
Pt2 0.389 0.389 0.778
```

Energy relative to the elements = -0.97 eV/atom

=====

[2]
Computed, not measured: a relaxed structure of Li3TiS3 at the GGA-PBE level of DFT.

Geometry as CIF:
```
data_Li3TiS3
_chemical_formula_sum 'Li6 Ti2 S6'
_space_group_name_H-M_alt 'P 1'
_space_group_IT_number 1
_space_group_name_Hall 'P 1'
_cell_length_a 6.902
_cell_length_b 6.902
_cell_length_c 5.901
_cell_angle_alpha 73.47
_cell_angle_beta 73.47
_cell_angle_gamma 112.33
loop_
_atom_site_label
_atom_site_fract_x
_atom_site_fract_y
_atom_site_fract_z
Ti1 0.000 0.000 0.500
Li1 0.096 0.548 0.202
Li2 0.452 0.904 0.298
S1 0.356 0.178 0.073
Li3 0.453 0.547 0.750
Li4 0.904 0.452 0.798
S2 0.822 0.644 0.427
S3 0.178 0.356 0.573
Li5 0.548 0.096 0.702
Li6 0.547 0.453 0.250
S4 0.177 0.823 0.750
Ti2 0.000 0.000 0.000
S5 0.823 0.177 0.250
S6 0.644 0.822 0.927
```

E_form (uncorrected) = -1.3107 eV per atom

=====

[3]
Computed, not measured: a relaxed structure of Nd3Tl2Pd2 at the GGA-PBE level of DFT.

Geometry as CIF:
```
data_Nd3Tl2Pd2
_chemical_formula_sum 'Nd3 Tl2 Pd2'
_space_group_name_H-M_alt 'P 1'
_space_group_IT_number 1
_space_group_name_Hall 'P 1'
_cell_length_a 4.067
_cell_length_b 3.859
_cell_length_c 11.974
_cell_angle_alpha 90.00
_cell_angle_beta 80.22
_cell_angle_gamma 90.00
loop_
_atom_site_label
_atom_site_fract_x
_atom_site_fract_y
_atom_site_fract_z
Tl1 0.584 0.500 0.833
Nd1 0.829 0.000 0.342
Pd1 0.289 0.500 0.422
Tl2 0.416 0.500 0.167
Nd2 0.171 0.000 0.658
Pd2 0.711 0.500 0.578
Nd3 0.000 0.000 0.000
```

Energy relative to the elements = -0.61 eV/atom

=====

[4]
Computed, not measured: a relaxed structure of AgSbRh2 at the GGA-PBE level of DFT.

Geometry as CIF:
```
data_AgSbRh2
_chemical_formula_sum 'Ag1 Sb1 Rh2'
_space_group_name_H-M_alt 'P 1'
_space_group_IT_number 1
_space_group_name_Hall 'P 1'
_cell_length_a 3.238
_cell_length_b 3.238
_cell_length_c 6.392
_cell_angle_alpha 90.00
_cell_angle_beta 90.00
_cell_angle_gamma 90.00
loop_
_atom_site_label
_atom_site_fract_x
_atom_site_fract_y
_atom_site_fract_z
Rh1 0.000 0.000 0.229
Sb1 0.500 0.500 0.000
Ag1 0.500 0.500 0.500
Rh2 0.000 0.000 0.771
```

E_form (uncorrected) = -0.0950 eV per atom
Offset from the most stable computed form = 0.27 eV/f.u.

=====

Calculated raw total energy (eV/atom), listed in the same order as above: -5.9264, -5.0276, -4.8160, -5.5142